No. 1
Computed, not measured: a relaxed LaY2 crystal at the PBE level of DFT.

Cell lengths 5.724, 5.724, 3.603 Å; angles 90.00, 90.00, 90.00 degrees
Space group P4/mmm (No. 123)
Asymmetric unit:
La 0.000 0.000 0.000 (multiplicity 1)
Y 0.000 0.500 0.500 (multiplicity 2)

**Polymorph energy (0 for the lowest one)**: 563 meV/atom
**Crystal system**: tetragonal



No. 2
Computed, not measured: a relaxed La5Y7 crystal at the PBE level of DFT.

Cell lengths 18.998, 3.665, 13.406 Å; angles 90.00, 118.43, 90.00 degrees
Space group C2/m (No. 12)
Asymmetric unit:
La 0.000 0.000 0.000 (multiplicity 2)
La 0.166 0.000 0.498 (multiplicity 4)
La 0.193 0.500 0.749 (multiplicity 4)
Y 0.000 0.500 0.500 (multiplicity 2)
Y 0.026 0.000 0.751 (multiplicity 4)
Y 0.138 0.500 0.248 (multiplicity 4)
Y 0.166 0.500 0.997 (multiplicity 4)

**Crystal system**: monoclinic



No. 3
Computed, not measured: a relaxed LaY2 crystal at the PBE level of DFT.

Cell lengths 3.6361, 3.6361, 8.8427 Å; angles 90.00, 90.00, 120.00 degrees
Space group P-3m1 (No. 164)
Asymmetric unit:
La 0.0000 0.0000 0.0000 (multiplicity 1)
Y 0.3333 0.6667 0.6617 (multiplicity 2)

**Polymorph energy (0 for the lowest one)**: 0 meV/atom
**Crystal system**: trigonal



No. 4
Computed, not measured: a relaxed La7Y5 crystal at the PBE level of DFT.

Cell lengths 19.173, 3.698, 13.479 Å; angles 90.00, 118.22, 90.00 degrees
Space group C2/m (No. 12)
Asymmetric unit:
La 0.000 0.000 0.000 (multiplicity 2)
La 0.027 0.500 0.250 (multiplicity 4)
La 0.140 0.000 0.752 (multiplicity 4)
La 0.167 0.000 0.503 (multiplicity 4)
Y 0.000 0.500 0.500 (multiplicity 2)
Y 0.169 0.500 0.005 (multiplicity 4)
Y 0.193 0.000 0.248 (multiplicity 4)

**Polymorph energy (0 for the lowest one)**: 0 meV/atom
**Crystal system**: monoclinic



No. 5
Computed, not measured: a relaxed LaY2 crystal at the PBE level of DFT.

Cell lengths 5.104, 15.457, 5.171 Å; angles 90.00, 90.00, 90.00 degrees
Space group Cmcm (No. 63)
Asymmetric unit:
La 0.000 0.082 0.250 (multiplicity 4)
Y 0.000 0.248 0.750 (multiplicity 4)
Y 0.000 0.415 0.250 (multiplicity 4)

**Polymorph energy (0 for the lowest one)**: 18 meV/atom
**Crystal system**: orthorhombic



No. 6
Computed, not measured: a relaxed LaY4 crystal at the PBE level of DFT.

Cell lengths 8.068, 8.068, 5.118 Å; angles 90.00, 90.00, 90.00 degrees
Space group I4/m (No. 87)
Asymmetric unit:
La 0.000 0.000 0.000 (multiplicity 2)
Y 0.099 0.301 0.500 (multiplicity 8)

**Polymorph energy (0 for the lowest one)**: 11 meV/atom
**Crystal system**: tetragonal



Volume per entry: 118; 410; 101; 421; 102; 167 Å³/f.u.
DOS(E_F) per entry: 1.925; 1.485; 1.412; 1.568; 1.765; 1.623 states/eV/atom
Energy of formation from the pure elements per entry: 0.58; 0.01; 0.02; 0.01; 0.03; 0.03 eV per atom